Record 1
{"formula": "RbLaO2F", "functional": "PBE-GGA", "state": "relaxed", "density_g_cm3": 4.47, "m_tot_mub_per_fu": 1.0, "formation_energy_uncorrected_kj_per_mol_atoms": -248.1, "e_tot_ev_per_atom": -6.108, "lattice": [[4.578, 0.000, 0.000], [0.000, 4.578, 0.000], [0.000, 0.000, 4.886]], "species": ["La", "O", "O", "F", "Rb"], "frac_coords": [[0.000, 0.000, 0.000], [0.500, 0.000, 0.000], [0.000, 0.500, 0.000], [0.000, 0.000, 0.500], [0.500, 0.500, 0.500]]}

Record 2
{"formula": "CsRb2TlZn", "functional": "PBE-GGA", "state": "relaxed", "formation_enthalpy_0k_ev_per_atom": 0.11, "de_polymorph_mev_per_atom": 29, "density_g_cm3": 3.18, "m_tot_mub_per_fu": 0.0, "e_tot_ev_per_atom": -1.174, "lattice": [[7.324, 0.000, 0.000], [0.000, 7.324, 0.000], [0.000, 0.000, 5.592]], "species": ["Cs", "Zn", "Tl", "Rb", "Rb"], "frac_coords": [[0.500, 0.500, 0.500], [0.000, 0.000, 0.500], [0.000, 0.000, 0.000], [0.500, 0.000, 0.000], [0.000, 0.500, 0.000]]}

Record 3
{"formula": "La3AuC", "functional": "PBE-GGA", "state": "relaxed", "formation_enthalpy_0k_ev_per_atom": 0.23, "de_polymorph_mev_per_atom": 613, "density_g_cm3": 6.78, "m_tot_mub_per_fu": 0.4, "e_tot_ev_per_atom": -5.225, "lattice": [[6.020, 0.000, 0.000], [0.000, 6.020, 0.000], [3.010, 3.010, 8.451]], "species": ["La", "La", "C", "La", "Au", "La", "C", "La", "La", "Au"], "frac_coords": [[0.640, 0.898, 0.203], [0.102, 0.360, 0.797], [0.250, 0.750, 0.500], [0.717, 0.717, 0.566], [0.656, 0.156, 0.687], [0.102, 0.843, 0.797], [0.000, 0.000, 0.000], [0.157, 0.898, 0.203], [0.283, 0.283, 0.434], [0.844, 0.344, 0.313]]}

Record 4
{"formula": "U2PaCo", "functional": "PBE-GGA", "state": "relaxed", "formation_enthalpy_0k_ev_per_atom": 0.20, "density_g_cm3": 17.07, "m_tot_mub_per_fu": 0.0, "e_tot_ev_per_atom": -9.598, "lattice": [[4.670, 0.000, 0.000], [2.335, 4.044, 0.000], [2.335, 1.348, 3.944]], "species": ["Co", "U", "Pa", "U"], "frac_coords": [[0.500, 0.500, 0.500], [0.758, 0.758, 0.725], [0.000, 0.000, 0.000], [0.242, 0.242, 0.275]]}

Record 5
{"formula": "RbY2HgTe4", "functional": "PBE-GGA", "state": "relaxed", "density_g_cm3": 5.61, "m_tot_mub_per_fu": 0.0, "formation_energy_uncorrected_kj_per_mol_atoms": -96.6, "e_tot_ev_per_atom": -4.346, "lattice": [[4.469, 0.000, 0.000], [-2.235, 7.666, 0.000], [0.000, 0.000, 16.847]], "species": ["Te", "Te", "Hg", "Rb", "Y", "Te", "Te", "Te", "Te", "Te", "Y", "Hg", "Y", "Y", "Te", "Rb"], "frac_coords": [[0.740, 0.479, 0.910], [0.441, 0.882, 0.750], [0.189, 0.379, 0.250], [0.874, 0.749, 0.250], [0.623, 0.245, 0.068], [0.260, 0.521, 0.090], [0.260, 0.521, 0.410], [0.000, 0.000, 0.500], [0.740, 0.479, 0.590], [0.000, 0.000, 0.000], [0.377, 0.755, 0.932], [0.811, 0.621, 0.750], [0.377, 0.755, 0.568], [0.623, 0.245, 0.432], [0.559, 0.118, 0.250], [0.126, 0.251, 0.750]]}

Record 6
{"formula": "TlBiS2", "functional": "PBE-GGA", "state": "relaxed", "density_g_cm3": 7.07, "m_tot_mub_per_fu": 0.0, "formation_energy_uncorrected_kj_per_mol_atoms": -39.2, "e_tot_ev_per_atom": -4.032, "lattice": [[4.107, 0.000, 0.000], [2.054, 3.557, 0.000], [2.054, 1.186, 7.677]], "species": ["Tl", "S", "S", "Bi"], "frac_coords": [[0.494, 0.494, 0.519], [0.267, 0.267, 0.199], [0.072, 0.072, 0.783], [0.667, 0.667, 0.999]]}

Record 7
{"formula": "La12SmCd3", "functional": "PBE-GGA", "state": "relaxed", "formation_enthalpy_0k_ev_per_atom": -0.09, "density_g_cm3": 6.69, "m_tot_mub_per_fu": 0.0, "e_tot_ev_per_atom": -4.255, "lattice": [[5.108, 0.000, 0.000], [0.000, 5.108, 0.000], [0.000, 0.000, 20.497]], "species": ["La", "La", "Cd", "La", "La", "Sm", "La", "La", "La", "La", "La", "La", "La", "La", "Cd", "Cd"], "frac_coords": [[0.500, 0.000, 0.129], [0.500, 0.000, 0.377], [0.000, 0.000, 0.500], [0.500, 0.000, 0.871], [0.000, 0.500, 0.871], [0.000, 0.000, 0.000], [0.500, 0.500, 0.252], [0.500, 0.500, 0.500], [0.500, 0.500, 0.000], [0.000, 0.500, 0.129], [0.000, 0.500, 0.377], [0.500, 0.000, 0.623], [0.500, 0.500, 0.748], [0.000, 0.500, 0.623], [0.000, 0.000, 0.255], [0.000, 0.000, 0.745]]}

Record 8
{"formula": "V2CoHPt", "functional": "PBE-GGA", "state": "relaxed", "de_polymorph_mev_per_atom": 134, "density_g_cm3": 10.87, "m_tot_mub_per_fu": 0.0, "e_tot_ev_per_atom": -7.157, "lattice": [[3.759, 0.000, 0.000], [0.000, 3.759, 0.000], [0.000, 0.000, 3.857]], "species": ["Co", "V", "V", "Pt", "H"], "frac_coords": [[0.500, 0.500, 0.500], [0.500, 0.000, 0.000], [0.000, 0.500, 0.000], [0.000, 0.000, 0.500], [0.000, 0.000, 0.000]]}

Record 9
{"formula": "Ca3TlP", "functional": "PBE-GGA", "state": "relaxed", "formation_enthalpy_0k_ev_per_atom": -0.54, "de_polymorph_mev_per_atom": 185, "density_g_cm3": 3.24, "m_tot_mub_per_fu": 0.0, "e_tot_ev_per_atom": -3.291, "lattice": [[0.000, 7.140, 7.140], [7.140, 0.000, 7.140], [7.140, 7.140, 0.000]], "species": ["Tl", "Ca", "Ca", "Ca", "Tl", "P", "Ca", "Tl", "P", "Ca", "Ca", "Ca", "Ca", "Ca", "Ca", "Ca", "P", "Ca", "P", "Tl"], "frac_coords": [[0.625, 0.125, 0.625], [0.033, 0.033, 0.467], [0.783, 0.217, 0.217], [0.467, 0.033, 0.467], [0.625, 0.625, 0.125], [0.125, 0.125, 0.625], [0.217, 0.783, 0.783], [0.125, 0.625, 0.625], [0.125, 0.125, 0.125], [0.217, 0.783, 0.217], [0.783, 0.217, 0.783], [0.467, 0.033, 0.033], [0.467, 0.467, 0.033], [0.033, 0.467, 0.033], [0.217, 0.217, 0.783], [0.783, 0.783, 0.217], [0.125, 0.625, 0.125], [0.033, 0.467, 0.467], [0.625, 0.125, 0.125], [0.625, 0.625, 0.625]]}

Record 10
{"formula": "BaTcSb2Te", "functional": "PBE-GGA", "state": "relaxed", "de_polymorph_mev_per_atom": 2165, "density_g_cm3": 4.27, "m_tot_mub_per_fu": 0.2, "formation_energy_uncorrected_kj_per_mol_atoms": 186.4, "e_tot_ev_per_atom": -2.804, "lattice": [[6.156, 0.000, 0.000], [0.000, 6.156, 0.000], [0.000, 0.000, 6.229]], "species": ["Ba", "Te", "Sb", "Tc", "Sb"], "frac_coords": [[0.000, 0.000, 0.000], [0.000, 0.000, 0.500], [0.000, 0.500, 0.000], [0.500, 0.500, 0.500], [0.500, 0.000, 0.000]]}

Record 11
{"formula": "CdWCl2", "functional": "PBE-GGA", "state": "relaxed", "de_polymorph_mev_per_atom": 1029, "density_g_cm3": 7.84, "m_tot_mub_per_fu": 2.2, "formation_energy_uncorrected_kj_per_mol_atoms": 92.3, "e_tot_ev_per_atom": -3.434, "lattice": [[-3.182, 3.500, -1.905], [-1.744, -2.008, -4.351], [0.111, -2.045, 4.670]], "species": ["Cd", "Cl", "W", "Cl"], "frac_coords": [[0.750, 0.250, 0.500], [0.500, 0.500, 0.000], [0.250, 0.750, 0.500], [0.000, 0.000, 0.000]]}

Record 12
{"formula": "GaCu2Ge", "functional": "PBE-GGA", "state": "relaxed", "formation_enthalpy_0k_ev_per_atom": 0.11, "de_polymorph_mev_per_atom": 35, "density_g_cm3": 7.56, "m_tot_mub_per_fu": 0.0, "e_tot_ev_per_atom": -3.853, "lattice": [[-1.761, -2.493, -0.333], [1.941, -1.089, -2.115], [3.273, -2.914, 4.503]], "species": ["Cu", "Cu", "Ga", "Ge"], "frac_coords": [[0.000, 0.000, 0.240], [0.000, 0.000, 0.760], [0.500, 0.500, 0.000], [0.500, 0.500, 0.500]]}